A plane-wave DFT calculation with PBE-GGA was carried out for PuPaTcGe after structural relaxation. Values from VASP.

The structure in Quantum ESPRESSO input format:
```
&SYSTEM
  ibrav = 0, nat = 4, ntyp = 4
/
ATOMIC_SPECIES
Ge 72.64 Ge.upf
Pa 231.04 Pa.upf
Tc 98.00 Tc.upf
Pu 244.00 Pu.upf
ATOMIC_POSITIONS angstrom
Ge 0.072 -1.880 -2.242
Pa 0.217 -5.641 -6.725
Tc 0.000 0.000 0.000
Pu 0.145 -3.761 -4.483
CELL_PARAMETERS angstrom
-1.932 -1.107 -4.229
2.730 -1.835 -3.468
-0.508 -4.580 -1.270
```

crystal system	cubic
ΔE_f	-0.222	eV per atom
symmetry	F-43m, No. 216

***

A plane-wave DFT calculation with PBE-GGA was carried out for PuThPaGe after structural relaxation. Values from VASP.

The structure in Quantum ESPRESSO input format:
```
&SYSTEM
  ibrav = 0, nat = 4, ntyp = 4
/
ATOMIC_SPECIES
Ge 72.64 Ge.upf
Pa 231.04 Pa.upf
Th 232.04 Th.upf
Pu 244.00 Pu.upf
ATOMIC_POSITIONS angstrom
Ge 5.177 2.989 2.113
Pa 0.000 0.000 0.000
Th 7.765 4.483 3.170
Pu 2.588 1.494 1.057
CELL_PARAMETERS angstrom
5.177 0.000 0.000
2.588 4.483 0.000
2.588 1.494 4.227
```

crystal system	cubic
ΔE_f	0.014	eV per atom
symmetry	F-43m, No. 216

***

A plane-wave DFT calculation with PBE-GGA was carried out for PuUPaGe after structural relaxation. Values from VASP.

The structure in Quantum ESPRESSO input format:
```
&SYSTEM
  ibrav = 0, nat = 4, ntyp = 4
/
ATOMIC_SPECIES
Ge 72.64 Ge.upf
Pa 231.04 Pa.upf
U 238.03 U.upf
Pu 244.00 Pu.upf
ATOMIC_POSITIONS angstrom
Ge 7.349 4.243 3.000
Pa 0.000 0.000 0.000
U 2.450 1.414 1.000
Pu 4.899 2.829 2.000
CELL_PARAMETERS angstrom
4.899 0.000 0.000
2.450 4.243 0.000
2.450 1.414 4.000
```

crystal system	cubic
ΔE_f	-0.004	eV per atom
symmetry	F-43m, No. 216

***

A plane-wave DFT calculation with PBE-GGA was carried out for PuPaVGe after structural relaxation. Values from VASP.

The structure in Quantum ESPRESSO input format:
```
&SYSTEM
  ibrav = 0, nat = 4, ntyp = 4
/
ATOMIC_SPECIES
Ge 72.64 Ge.upf
Pa 231.04 Pa.upf
V 50.94 V.upf
Pu 244.00 Pu.upf
ATOMIC_POSITIONS angstrom
Ge -2.975 -0.104 -0.477
Pa 0.000 0.000 0.000
V -8.925 -0.311 -1.430
Pu -5.950 -0.207 -0.954
CELL_PARAMETERS angstrom
-3.694 1.746 -2.747
-3.782 -2.921 -1.182
-4.424 0.761 2.022
```

crystal system	cubic
ΔE_f	0.088	eV per atom
symmetry	F-43m, No. 216

***

A plane-wave DFT calculation with PBE-GGA was carried out for PuPaZnGe after structural relaxation. Values from VASP.

The structure in Quantum ESPRESSO input format:
```
&SYSTEM
  ibrav = 0, nat = 4, ntyp = 4
/
ATOMIC_SPECIES
Pu 244.00 Pu.upf
Pa 231.04 Pa.upf
Zn 65.41 Zn.upf
Ge 72.64 Ge.upf
ATOMIC_POSITIONS angstrom
Pu 0.000 2.191 0.000
Pa 1.518 4.683 0.000
Zn 0.000 0.752 2.680
Ge 1.518 3.203 2.680
CELL_PARAMETERS angstrom
3.036 0.000 0.000
-1.518 5.348 0.000
0.000 0.000 5.359
```

crystal system	orthorhombic
ΔE_f	0.107	eV per atom
symmetry	Amm2, No. 38

***

A plane-wave DFT calculation with PBE-GGA was carried out for PuPaZnGe after structural relaxation. Values from VASP.

The structure in Quantum ESPRESSO input format:
```
&SYSTEM
  ibrav = 0, nat = 4, ntyp = 4
/
ATOMIC_SPECIES
Ge 72.64 Ge.upf
Pa 231.04 Pa.upf
Zn 65.41 Zn.upf
Pu 244.00 Pu.upf
ATOMIC_POSITIONS angstrom
Ge 0.000 0.000 0.000
Pa 7.489 4.324 3.057
Zn 4.993 2.882 2.038
Pu 2.496 1.441 1.019
CELL_PARAMETERS angstrom
4.993 0.000 0.000
2.496 4.324 0.000
2.496 1.441 4.076
```

crystal system	cubic
ΔE_f	-0.141	eV per atom
symmetry	F-43m, No. 216

***

A plane-wave DFT calculation with PBE-GGA was carried out for PuPa2Zn2Ge2 after structural relaxation. Values from VASP.

The structure in Quantum ESPRESSO input format:
```
&SYSTEM
  ibrav = 0, nat = 7, ntyp = 4
/
ATOMIC_SPECIES
Pu 244.00 Pu.upf
Pa 231.04 Pa.upf
Zn 65.41 Zn.upf
Ge 72.64 Ge.upf
ATOMIC_POSITIONS angstrom
Pu 0.000 0.000 0.000
Pa 2.168 1.251 5.078
Pa 6.503 3.754 3.702
Zn 4.335 2.503 1.876
Zn 4.335 2.503 6.904
Ge 6.503 3.754 6.995
Ge 2.168 1.251 1.785
CELL_PARAMETERS angstrom
4.335 0.000 0.000
2.168 3.754 0.000
2.168 1.251 8.780
```

crystal system	trigonal
ΔE_f	-0.102	eV per atom
symmetry	R-3m, No. 166

***

A plane-wave DFT calculation with PBE-GGA was carried out for Rb2PaGeS6 after structural relaxation. Values from VASP.

The structure in Quantum ESPRESSO input format:
```
&SYSTEM
  ibrav = 0, nat = 10, ntyp = 4
/
ATOMIC_SPECIES
Rb 85.47 Rb.upf
Pa 231.04 Pa.upf
Ge 72.64 Ge.upf
S 32.06 S.upf
ATOMIC_POSITIONS angstrom
Rb 1.300 0.000 4.262
Rb 4.956 3.691 2.131
Pa 3.128 0.000 0.000
Ge 0.000 0.000 0.000
S 4.858 0.000 1.996
S 4.858 -1.962 5.395
S 4.858 1.962 5.395
S 1.398 5.653 0.998
S 1.398 1.729 0.998
S 1.398 3.691 4.397
CELL_PARAMETERS angstrom
6.256 0.000 0.000
0.000 7.382 0.000
0.000 -3.691 6.393
```

crystal system	trigonal
symmetry	P-3m1, No. 164
E_form (uncorrected)	-0.966	eV per atom

***

A plane-wave DFT calculation with PBE-GGA was carried out for RbPa2GeS8 after structural relaxation. Values from VASP.

The structure in Quantum ESPRESSO input format:
```
&SYSTEM
  ibrav = 0, nat = 12, ntyp = 4
/
ATOMIC_SPECIES
Rb 85.47 Rb.upf
Pa 231.04 Pa.upf
Ge 72.64 Ge.upf
S 32.06 S.upf
ATOMIC_POSITIONS angstrom
Rb -4.391 0.799 0.703
Pa -7.502 -2.955 1.366
Pa -2.720 -3.827 0.602
Ge 0.000 0.000 0.000
S -1.943 -3.119 2.926
S -9.723 -4.188 2.119
S -2.974 -4.623 -1.808
S -8.278 -3.662 -0.958
S -0.499 -2.593 -0.151
S -7.248 -2.158 3.776
S -5.129 -4.353 1.972
S -5.093 -2.428 -0.004
CELL_PARAMETERS angstrom
-1.497 -4.973 -3.683
0.056 -3.407 4.245
-8.781 1.598 1.405
```

crystal system	monoclinic
symmetry	P2/m, No. 10
E_form (uncorrected)	-0.885	eV per atom

***

A plane-wave DFT calculation with PBE-GGA was carried out for Rb2PaGe2S6 after structural relaxation. Values from VASP.

The structure in Quantum ESPRESSO input format:
```
&SYSTEM
  ibrav = 0, nat = 11, ntyp = 4
/
ATOMIC_SPECIES
Rb 85.47 Rb.upf
Pa 231.04 Pa.upf
Ge 72.64 Ge.upf
S 32.06 S.upf
ATOMIC_POSITIONS angstrom
Rb 3.645 1.862 1.265
Rb 0.000 0.464 5.703
Pa 3.645 -1.932 3.624
Ge 3.645 2.486 5.670
Ge 0.000 -0.160 1.298
S 3.645 0.574 4.344
S -1.802 4.737 1.405
S 1.843 -2.411 5.563
S 5.448 -2.411 5.563
S 1.802 4.737 1.405
S 0.000 1.752 2.624
CELL_PARAMETERS angstrom
7.291 0.000 0.000
-3.645 6.191 -0.280
0.000 -3.865 7.248
```

crystal system	monoclinic
symmetry	C2/m, No. 12
E_form (uncorrected)	-0.971	eV per atom

***

A plane-wave DFT calculation with PBE-GGA was carried out for Rb3PaGe2S8 after structural relaxation. Values from VASP.

The structure in Quantum ESPRESSO input format:
```
&SYSTEM
  ibrav = 0, nat = 14, ntyp = 4
/
ATOMIC_SPECIES
Rb 85.47 Rb.upf
Pa 231.04 Pa.upf
Ge 72.64 Ge.upf
S 32.06 S.upf
ATOMIC_POSITIONS angstrom
Rb 0.000 4.180 6.166
Rb 3.620 2.090 3.192
Rb 0.000 0.000 0.000
Pa 0.000 0.000 4.679
Ge 0.000 4.180 2.168
Ge 3.620 2.090 7.191
S 0.000 4.180 0.076
S 3.620 2.090 9.283
S -1.796 5.217 3.125
S 5.416 1.053 6.233
S 0.000 2.106 3.125
S 3.620 4.164 6.233
S 1.796 5.217 3.125
S 1.824 1.053 6.233
CELL_PARAMETERS angstrom
7.240 0.000 0.000
-3.620 6.270 0.000
0.000 0.000 9.358
```

crystal system	trigonal
symmetry	P-3m1, No. 164
E_form (uncorrected)	-0.931	eV per atom

***

A plane-wave DFT calculation with PBE-GGA was carried out for Rb2PaGeSe5 after structural relaxation. Values from VASP.

The structure in Quantum ESPRESSO input format:
```
&SYSTEM
  ibrav = 0, nat = 18, ntyp = 4
/
ATOMIC_SPECIES
Rb 85.47 Rb.upf
Pa 231.04 Pa.upf
Ge 72.64 Ge.upf
Se 78.96 Se.upf
ATOMIC_POSITIONS angstrom
Rb 2.213 7.520 12.054
Rb 0.000 2.398 9.923
Rb 0.000 2.420 4.798
Rb 2.213 7.542 2.667
Pa 2.213 5.951 7.661
Pa 0.000 3.989 0.405
Ge 2.213 1.217 13.466
Ge 0.000 8.723 6.210
Se 0.000 6.587 0.110
Se 2.213 3.736 13.008
Se 2.213 0.164 11.394
Se 0.000 6.052 9.411
Se 2.213 8.852 7.491
Se 2.213 3.353 7.366
Se 0.000 6.204 5.752
Se 0.000 9.776 4.138
Se 2.213 3.888 2.155
Se 0.000 1.088 0.235
CELL_PARAMETERS angstrom
4.425 0.000 0.000
-2.213 9.940 0.000
0.000 0.000 14.512
```

crystal system	orthorhombic
symmetry	Cmc2_1, No. 36
E_form (uncorrected)	-1.045	eV per atom

***

Mass density in g/cm3, matching the order above: 13.9; 13.2; 15.7; 11.8; 11.7; 11.6; 11.4; 3.8; 4.7; 3.8; 3.5; 4.5